{"formula": "YZrSe2", "functional": "GGA-PBEsol", "state": "relaxed", "crystal_system": "tetragonal", "e_form_raw_ev_per_atom": -1.448, "dos_ef_per_ev_atom": 0.69, "lattice": [[3.925, 0.000, 0.000], [0.000, 3.925, 0.000], [0.000, 0.000, 5.547]], "species": ["Zr", "Se", "Se", "Y"], "frac_coords": [[0.500, 0.500, 0.500], [0.500, 0.500, 0.000], [0.000, 0.000, 0.500], [0.000, 0.000, 0.000]]}